[1]
# MgHgW2

A PBEsol-optimized structure of MgHgW2 (SCAN, Alexandria).

Energy relative to the lowest polymorph listed for this composition ... 0.030 eV/atom

Structure (CIF):
```
data_MgHgW2
_space_group_name_H-M_alt 'P 1 2/m 1'
_space_group_IT_number 10
_cell_length_a 2.759
_cell_length_b 4.774
_cell_length_c 5.283
_cell_angle_alpha 90.00
_cell_angle_beta 101.97
_cell_angle_gamma 90.00
loop_
_space_group_symop_operation_xyz
'x,y,z'
'-x,-y,-z'
'-x,y,-z'
'x,-y,z'
loop_
_atom_site_label
_atom_site_type_symbol
_atom_site_fract_x
_atom_site_fract_y
_atom_site_fract_z
_atom_site_occupancy
Mg1 Mg 0.000 0.000 0.000 1
Hg1 Hg 0.500 0.000 0.500 1
W1 W 0.277 0.500 0.761 1
```


[2]
# MgHgW

A PBEsol-optimized structure of MgHgW (SCAN, Alexandria).

Total DFT energy (no corrections) ... -1.698 hartree per atom

Structure (CIF):
```
data_MgHgW
_space_group_name_H-M_alt 'F -4 3 m'
_space_group_IT_number 216
_space_group_name_Hall 'F -4 2 3'
_cell_length_a 6.254
_cell_length_b 6.254
_cell_length_c 6.254
_cell_angle_alpha 90.00
_cell_angle_beta 90.00
_cell_angle_gamma 90.00
loop_
_atom_site_label
_atom_site_type_symbol
_atom_site_fract_x
_atom_site_fract_y
_atom_site_fract_z
_atom_site_occupancy
Mg1 Mg 0.000 0.000 0.000 1
Hg1 Hg 0.250 0.250 0.250 1
W1 W 0.250 0.250 0.750 1
```


[3]
# Mg2HgW

A PBEsol-optimized structure of Mg2HgW (SCAN, Alexandria).

Energy relative to the lowest polymorph listed for this composition ... 0.112 eV/atom

Structure (CIF):
```
data_Mg2HgW
_space_group_name_H-M_alt 'I m m 2'
_space_group_IT_number 44
_cell_length_a 2.994
_cell_length_b 4.877
_cell_length_c 10.037
_cell_angle_alpha 90.00
_cell_angle_beta 90.00
_cell_angle_gamma 90.00
loop_
_space_group_symop_operation_xyz
'x,y,z'
'-x,-y,z'
'-x,y,z'
'x,-y,z'
'x+1/2,y+1/2,z+1/2'
'-x+1/2,-y+1/2,z+1/2'
'-x+1/2,y+1/2,z+1/2'
'x+1/2,-y+1/2,z+1/2'
loop_
_atom_site_label
_atom_site_type_symbol
_atom_site_fract_x
_atom_site_fract_y
_atom_site_fract_z
_atom_site_occupancy
Mg1 Mg 0.000 0.000 0.000 1
Mg2 Mg 0.000 0.500 0.231 1
Hg1 Hg 0.000 0.000 0.488 1
W1 W 0.000 0.500 0.745 1
```


[4]
# MgHgW2

A PBEsol-optimized structure of MgHgW2 (SCAN, Alexandria).

Energy relative to the lowest polymorph listed for this composition ... 0.000 eV/atom

Structure (CIF):
```
data_MgHgW2
_space_group_name_H-M_alt 'P m m 2'
_space_group_IT_number 25
_cell_length_a 2.749
_cell_length_b 4.257
_cell_length_c 5.915
_cell_angle_alpha 90.00
_cell_angle_beta 90.00
_cell_angle_gamma 90.00
loop_
_space_group_symop_operation_xyz
'x,y,z'
'-x,-y,z'
'-x,y,z'
'x,-y,z'
loop_
_atom_site_label
_atom_site_type_symbol
_atom_site_fract_x
_atom_site_fract_y
_atom_site_fract_z
_atom_site_occupancy
Mg1 Mg 0.000 0.000 0.000 1
Hg1 Hg 0.500 0.500 0.771 1
W1 W 0.000 0.000 0.476 1
W2 W 0.500 0.500 0.277 1
```


Number 1: calculated density 14.5 g/cm3. Number 2: calculated density 11.1 g/cm3. Number 3: calculated density 9.8 g/cm3. Number 4: calculated density 14.2 g/cm3.